[1]
# Er2ThSc7

A geometry-optimized Er2ThSc7 structure (GGA-PBE, Alexandria via LeMat-Bulk).

Output
Calculated formation energy   0.15 eV per atom
N(E_F)   16.1 states/eV per cell
SG   Cmmm (65)

a b c (Å): 3.3144 13.8693 13.8693
angles (deg): 154.90 90.00 90.00
Last column: nearest neighbours and their distance in Å.
Fractional positions:
Sc1 0.5000 0.5000 0.5000  6 Sc 3.08-3.31, 4 Th 3.44
Sc2 0.5000 0.6542 0.8521  7 Sc 2.98-3.31
Sc3 0.5000 0.3458 0.1479  7 Sc 2.98-3.31
Sc4 0.0000 0.1831 0.8169  6 Sc 3.19-3.31, 6 Er 3.32-3.52
Th1 0.0000 0.0000 0.0000  2 Th 3.31, 12 Sc 3.44-3.48
Sc5 0.5000 0.8521 0.6542  7 Sc 2.98-3.31
Er1 0.5000 0.2894 0.7106  4 Er 3.31-3.69, 8 Sc 3.32-3.52
Sc6 0.0000 0.8169 0.1831  6 Sc 3.19-3.31, 6 Er 3.32-3.52
Er2 0.5000 0.7106 0.2894  4 Er 3.31-3.69, 8 Sc 3.32-3.52
Sc7 0.5000 0.1479 0.3458  7 Sc 2.98-3.31

---

[2]
# Er4ThSc4

A geometry-optimized Er4ThSc4 structure (GGA-PBE, Alexandria via LeMat-Bulk).

Output
Calculated formation energy   0.05 eV per atom
N(E_F)   15.9 states/eV per cell
SG   I4/mmm (139)

a b c (Å): 4.8740 7.5997 7.5997
angles (deg): 84.10 71.30 71.30
Last column: nearest neighbours and their distance in Å.
Fractional positions:
Th1 0.0000 0.0000 0.0000  8 Er 3.43, 4 Sc 3.44
Sc1 0.6623 0.3377 0.3377  5 Sc 3.31-3.38, 6 Er 3.39-3.44, 1 Th 3.44
Sc2 0.0000 0.3377 0.6623  5 Sc 3.31-3.38, 6 Er 3.39-3.44, 1 Th 3.44
Er1 0.3327 0.3346 0.0001  6 Sc 3.39-3.44, 4 Er 3.41, 2 Th 3.43
Sc3 0.3377 0.6623 0.6623  5 Sc 3.31-3.38, 6 Er 3.39-3.44, 1 Th 3.44
Er2 0.6673 0.6654 0.9999  6 Sc 3.39-3.44, 4 Er 3.41, 2 Th 3.43
Sc4 0.0000 0.6623 0.3377  5 Sc 3.31-3.38, 6 Er 3.39-3.44, 1 Th 3.44
Er3 0.6673 0.0001 0.6654  6 Sc 3.39-3.44, 4 Er 3.41, 2 Th 3.43
Er4 0.3327 0.9999 0.3346  6 Sc 3.39-3.44, 4 Er 3.41, 2 Th 3.43

---

[3]
# ErTh2Sc9

A geometry-optimized ErTh2Sc9 structure (GGA-PBE, Alexandria via LeMat-Bulk).

Output
Relative energy among the computed polymorphs   35 meV per atom
Calculated formation energy   0.12 eV per atom
N(E_F)   27.1 states/eV per cell
SG   P6/mmm (191)

a b c (Å): 3.2342 10.6711 10.6711
angles (deg): 120.00 90.00 90.00
Last column: nearest neighbours and their distance in Å.
Fractional positions:
Sc1 0.5000 0.6584 0.8292  8 Sc 3.16-3.45, 2 Th 3.41
Sc2 0.0000 0.5000 0.5000  2 Th 3.08, 10 Sc 3.23-3.45
Sc3 0.5000 0.1708 0.8292  8 Sc 3.16-3.45, 2 Th 3.41
Er1 0.0000 0.0000 0.0000  2 Er 3.23, 12 Sc 3.55
Sc4 0.5000 0.8292 0.6584  8 Sc 3.16-3.45, 2 Th 3.41
Th1 0.0000 0.6667 0.3333  9 Sc 3.08-3.41, 2 Th 3.23
Sc5 0.5000 0.8292 0.1708  8 Sc 3.16-3.45, 2 Th 3.41
Sc6 0.0000 0.0000 0.5000  2 Th 3.08, 10 Sc 3.23-3.45
Sc7 0.5000 0.1708 0.3416  8 Sc 3.16-3.45, 2 Th 3.41
Sc8 0.0000 0.5000 0.0000  2 Th 3.08, 10 Sc 3.23-3.45
Sc9 0.5000 0.3416 0.1708  8 Sc 3.16-3.45, 2 Th 3.41
Th2 0.0000 0.3333 0.6667  9 Sc 3.08-3.41, 2 Th 3.23

---

[4]
# Er4Th3Sc

A geometry-optimized Er4Th3Sc structure (GGA-PBE, Alexandria via LeMat-Bulk).

Output
Relative energy among the computed polymorphs   84 meV per atom
Calculated formation energy   0.13 eV per atom
N(E_F)   13.7 states/eV per cell
SG   C2/m (12)

a b c (Å): 5.7320 5.9172 8.2615
angles (deg): 108.84 110.30 90.00
Last column: nearest neighbours and their distance in Å.
Fractional positions:
Th1 0.0000 0.5000 0.0000  4 Th 3.33-3.52, 6 Er 3.47-3.66
Th2 0.8812 0.9112 0.7623  3 Th 3.33-3.52, 2 Sc 3.35, 5 Er 3.48-3.64
Sc1 0.5000 0.0000 0.0000  2 Er 3.18, 4 Th 3.35
Er1 0.7484 0.3001 0.4968  6 Er 3.38-3.71, 5 Th 3.48-3.66, 1 Sc 3.64
Th3 0.1188 0.0888 0.2377  3 Th 3.33-3.52, 2 Sc 3.35, 5 Er 3.48-3.64
Er2 0.3690 0.3123 0.7380  1 Sc 3.18, 4 Er 3.38-3.45, 2 Th 3.47
Er3 0.6310 0.6877 0.2620  1 Sc 3.18, 4 Er 3.38-3.45, 2 Th 3.47
Er4 0.2516 0.6999 0.5032  6 Er 3.38-3.71, 5 Th 3.48-3.66, 1 Sc 3.64

---

[5]
# ErTh2Sc5

A geometry-optimized ErTh2Sc5 structure (GGA-PBE, Alexandria via LeMat-Bulk).

Output
Relative energy among the computed polymorphs   361 meV per atom
Calculated formation energy   0.40 eV per atom
N(E_F)   12.5 states/eV per cell
SG   Immm (71)

a b c (Å): 5.2198 7.1997 7.1997
angles (deg): 79.23 68.75 68.75
Last column: nearest neighbours and their distance in Å.
Fractional positions:
Sc1 0.3288 0.5098 0.8327  1 Sc 2.96, 3 Th 3.11-3.31
Sc2 0.6712 0.1673 0.4902  1 Sc 2.96, 3 Th 3.11-3.31
Sc3 0.6712 0.4902 0.1673  1 Sc 2.96, 3 Th 3.11-3.31
Sc4 0.0000 0.5000 0.5000  2 Th 3.08, 8 Sc 3.44
Sc5 0.3288 0.8327 0.5098  1 Sc 2.96, 3 Th 3.11-3.31
Th1 0.3144 0.1856 0.1856  7 Sc 3.08-3.31, 2 Er 3.18
Th2 0.6856 0.8144 0.8144  7 Sc 3.08-3.31, 2 Er 3.18
Er1 0.0000 0.0000 0.0000  4 Th 3.18, 4 Sc 3.54

---

[6]
# Er3Th3Sc5

A geometry-optimized Er3Th3Sc5 structure (GGA-PBE, Alexandria via LeMat-Bulk).

Output
Relative energy among the computed polymorphs   728 meV per atom
Calculated formation energy   0.83 eV per atom
N(E_F)   20.6 states/eV per cell
SG   P-62m (189)

a b c (Å): 5.4687 8.9955 8.9955
angles (deg): 120.00 90.00 90.00
Last column: nearest neighbours and their distance in Å.
Fractional positions:
Sc1 0.5000 0.6228 0.0000  2 Sc 2.82, 2 Th 2.99, 2 Er 3.00
Er1 0.0000 0.4849 0.0000  2 Sc 3.00
Sc2 0.5000 0.3333 0.6667  3 Sc 2.82
Sc3 0.5000 0.3772 0.3772  2 Sc 2.82, 2 Th 2.99, 2 Er 3.00
Th1 0.5000 0.0000 0.2528  3 Sc 2.99-3.33
Er2 0.0000 0.0000 0.4849  2 Sc 3.00
Er3 0.0000 0.5151 0.5151  2 Sc 3.00
Sc4 0.5000 0.6667 0.3333  3 Sc 2.82
Sc5 0.5000 0.0000 0.6228  2 Sc 2.82, 2 Th 2.99, 2 Er 3.00
Th2 0.5000 0.2528 0.0000  3 Sc 2.99-3.33
Th3 0.5000 0.7472 0.7472  3 Sc 2.99-3.33

---

[7]
# Er2Th4Sc5

A geometry-optimized Er2Th4Sc5 structure (GGA-PBE, Alexandria via LeMat-Bulk).

Output
Calculated formation energy   0.04 eV per atom
N(E_F)   14.2 states/eV per cell
SG   C2/m (12)

a b c (Å): 3.4582 10.2453 13.3586
angles (deg): 138.00 97.44 90.00
Last column: nearest neighbours and their distance in Å.
Fractional positions:
Th1 0.9581 0.6443 0.9162  4 Sc 3.32-3.41, 4 Er 3.43-3.50, 4 Th 3.46-3.47
Th2 0.6811 0.4543 0.3621  6 Sc 3.34-3.36, 6 Th 3.46-3.48
Er1 0.4031 0.2645 0.8061  5 Sc 3.28-3.47, 4 Th 3.43-3.50, 3 Er 3.46-3.54
Sc1 0.2280 0.8122 0.4560  3 Er 3.28-3.40, 3 Th 3.34-3.41, 6 Sc 3.43-3.53
Th3 0.0419 0.3557 0.0838  4 Sc 3.32-3.41, 4 Er 3.43-3.50, 4 Th 3.46-3.47
Th4 0.3189 0.5457 0.6379  6 Sc 3.34-3.36, 6 Th 3.46-3.48
Sc2 0.7720 0.1878 0.5440  3 Er 3.28-3.40, 3 Th 3.34-3.41, 6 Sc 3.43-3.53
Sc3 0.5000 0.0000 0.0000  6 Th 3.35-3.38, 6 Sc 3.42-3.46
Er2 0.5969 0.7355 0.1939  5 Sc 3.28-3.47, 4 Th 3.43-3.50, 3 Er 3.46-3.54
Sc4 0.1367 0.0982 0.2735  4 Th 3.32-3.36, 6 Sc 3.42-3.46, 2 Er 3.47
Sc5 0.8633 0.9018 0.7265  4 Th 3.32-3.36, 6 Sc 3.42-3.46, 2 Er 3.47

---

[8]
# ErThSc2

A geometry-optimized ErThSc2 structure (GGA-PBE, Alexandria via LeMat-Bulk).

Output
Relative energy among the computed polymorphs   153 meV per atom
Calculated formation energy   0.19 eV per atom
N(E_F)   20.6 states/eV per cell
SG   P2_1/c (14)

a b c (Å): 8.5850 7.9551 6.7209
angles (deg): 90.00 89.57 90.00
Last column: nearest neighbours and their distance in Å.
Fractional positions:
Er1 0.3198 0.9782 0.8708  6 Sc 3.18-3.39, 3 Th 3.35-3.46
Sc1 0.0082 0.8321 0.1187  4 Sc 3.12-3.41, 4 Er 3.18-3.39, 2 Th 3.31-3.39
Th1 0.3253 0.9689 0.3690  6 Sc 3.24-3.42, 3 Er 3.35-3.46, 1 Th 3.52
Er2 0.6802 0.0218 0.1291  6 Sc 3.18-3.39, 3 Th 3.35-3.46
Sc2 0.4918 0.3321 0.8813  4 Sc 3.12-3.41, 4 Er 3.18-3.39, 2 Th 3.31-3.39
Er3 0.1802 0.4782 0.1291  6 Sc 3.18-3.39, 3 Th 3.35-3.46
Sc3 0.4955 0.3329 0.3741  4 Sc 3.15-3.41, 4 Th 3.24-3.42, 2 Er 3.36-3.38
Th2 0.8254 0.5311 0.3690  6 Sc 3.24-3.42, 3 Er 3.35-3.46, 1 Th 3.52
Sc4 0.9918 0.1679 0.8813  4 Sc 3.12-3.41, 4 Er 3.18-3.39, 2 Th 3.31-3.39
Sc5 0.9955 0.1671 0.3741  4 Sc 3.15-3.41, 4 Th 3.24-3.42, 2 Er 3.36-3.38
Sc6 0.0045 0.8329 0.6259  4 Sc 3.15-3.41, 4 Th 3.24-3.42, 2 Er 3.36-3.38
Er4 0.8198 0.5218 0.8708  6 Sc 3.18-3.39, 3 Th 3.35-3.46
Sc7 0.5082 0.6679 0.1187  4 Sc 3.12-3.41, 4 Er 3.18-3.39, 2 Th 3.31-3.39
Th3 0.6746 0.0311 0.6310  6 Sc 3.24-3.42, 3 Er 3.35-3.46, 1 Th 3.52
Sc8 0.5045 0.6671 0.6259  4 Sc 3.15-3.41, 4 Th 3.24-3.42, 2 Er 3.36-3.38
Th4 0.1746 0.4689 0.6310  6 Sc 3.24-3.42, 3 Er 3.35-3.46, 1 Th 3.52

---

Which of these has the lowest calculated formation energy? Er2Th4Sc5

---

What did the seventh record say?
# Er2Th4Sc5

A geometry-optimized Er2Th4Sc5 structure (GGA-PBE, Alexandria via LeMat-Bulk).

Output
Calculated formation energy   0.04 eV per atom
N(E_F)   14.2 states/eV per cell
SG   C2/m (12)

a b c (Å): 3.4582 10.2453 13.3586
angles (deg): 138.00 97.44 90.00
Last column: nearest neighbours and their distance in Å.
Fractional positions:
Th1 0.9581 0.6443 0.9162  4 Sc 3.32-3.41, 4 Er 3.43-3.50, 4 Th 3.46-3.47
Th2 0.6811 0.4543 0.3621  6 Sc 3.34-3.36, 6 Th 3.46-3.48
Er1 0.4031 0.2645 0.8061  5 Sc 3.28-3.47, 4 Th 3.43-3.50, 3 Er 3.46-3.54
Sc1 0.2280 0.8122 0.4560  3 Er 3.28-3.40, 3 Th 3.34-3.41, 6 Sc 3.43-3.53
Th3 0.0419 0.3557 0.0838  4 Sc 3.32-3.41, 4 Er 3.43-3.50, 4 Th 3.46-3.47
Th4 0.3189 0.5457 0.6379  6 Sc 3.34-3.36, 6 Th 3.46-3.48
Sc2 0.7720 0.1878 0.5440  3 Er 3.28-3.40, 3 Th 3.34-3.41, 6 Sc 3.43-3.53
Sc3 0.5000 0.0000 0.0000  6 Th 3.35-3.38, 6 Sc 3.42-3.46
Er2 0.5969 0.7355 0.1939  5 Sc 3.28-3.47, 4 Th 3.43-3.50, 3 Er 3.46-3.54
Sc4 0.1367 0.0982 0.2735  4 Th 3.32-3.36, 6 Sc 3.42-3.46, 2 Er 3.47
Sc5 0.8633 0.9018 0.7265  4 Th 3.32-3.36, 6 Sc 3.42-3.46, 2 Er 3.47

---

Which value of N(E_F) does entry 1 give? 16.1 states/eV per cell